1.
DFT (GGA-PBE) results for SbTe2OsRu after structural relaxation.

Summary:
The calculation puts the magnetic moment at 0.3 μB per formula unit. The energy relative to the elements, uncorrected comes out at 32.03 kcal/mol of atoms. Its space group is P4/mmm, No. 123. The offset from the most stable computed form comes out at 0.031 eV/atom. The calculation puts the total energy at -4.79 eV per atom.

Cell lengths 5.053, 5.053, 4.954 Å; angles 90.00, 90.00, 90.00 degrees
Element x y z (fractional)
Sb (0.000, 0.000, 0.500)
Te (0.000, 0.500, 0.000)
Te (0.500, 0.000, 0.000)
Os (0.500, 0.500, 0.500)
Ru (0.000, 0.000, 0.000)

***

2.
DFT (GGA-PBE) results for SbTe2OsRu after structural relaxation.

Summary:
The calculation puts the magnetic moment at 0.0 μB per formula unit. The energy relative to the elements, uncorrected comes out at 31.32 kcal/mol of atoms. Its space group is P4/mmm, No. 123. The offset from the most stable computed form comes out at 0.000 eV/atom. The calculation puts the total energy at -4.82 eV per atom.

Cell lengths 5.154, 5.154, 5.001 Å; angles 90.00, 90.00, 90.00 degrees
Element x y z (fractional)
Sb (0.000, 0.000, 0.500)
Te (0.000, 0.500, 0.000)
Te (0.500, 0.000, 0.000)
Os (0.000, 0.000, 0.000)
Ru (0.500, 0.500, 0.500)

***

3.
DFT (GGA-PBE) results for Th3SbOsRu after structural relaxation.

Summary:
The calculation puts the magnetic moment at 0.0 μB per formula unit. The energy relative to the elements, uncorrected comes out at -11.26 kcal/mol of atoms. Its space group is P2_1/m, No. 11. The calculation puts the total energy at -8.30 eV per atom.

Cell lengths 4.314, 8.380, 9.959 Å; angles 115.12, 90.00, 90.00 degrees
Element x y z (fractional)
Th (0.250, 0.740, 0.476)
Th (0.750, 0.929, 0.130)
Th (0.750, 0.485, 0.143)
Th (0.750, 0.260, 0.524)
Th (0.250, 0.515, 0.857)
Th (0.250, 0.071, 0.870)
Sb (0.750, 0.723, 0.729)
Sb (0.250, 0.277, 0.271)
Os (0.250, 0.728, 0.164)
Os (0.750, 0.272, 0.836)
Ru (0.250, 0.100, 0.610)
Ru (0.750, 0.900, 0.390)

***

4.
DFT (GGA-PBE) results for ScOs3Ru after structural relaxation.

Summary:
The calculation puts the magnetic moment at 0.0 μB per formula unit. Its space group is Pm-3m, No. 221. The offset from the most stable computed form comes out at 0.000 eV/atom. The formation energy comes out at 1606 meV per atom. The calculation puts the total energy at -8.25 eV per atom.

Cell lengths 4.659, 4.659, 4.659 Å; angles 90.00, 90.00, 90.00 degrees
Element x y z (fractional)
Sc (0.500, 0.500, 0.500)
Ru (0.000, 0.000, 0.000)
Os (0.000, 0.500, 0.000)
Os (0.000, 0.000, 0.500)
Os (0.500, 0.000, 0.000)

***

5.
DFT (GGA-PBE) results for ScOs2Ru after structural relaxation.

Summary:
The calculation puts the magnetic moment at 0.0 μB per formula unit. Its space group is I4/mmm, No. 139. The offset from the most stable computed form comes out at 0.136 eV/atom. The formation energy comes out at 47 meV per atom. The calculation puts the total energy at -9.47 eV per atom.

Cell lengths 4.959, 4.959, 4.959 Å; angles 134.33, 134.33, 66.58 degrees
Element x y z (fractional)
Os (0.000, 0.000, 0.000)
Os (0.500, 0.500, 0.000)
Ru (0.250, 0.750, 0.500)
Sc (0.750, 0.250, 0.500)

***

6.
DFT (GGA-PBE) results for Sc2Os3Ru after structural relaxation.

Summary:
The calculation puts the magnetic moment at 0.0 μB per formula unit. Its space group is C2/m, No. 12. The formation energy comes out at -329 meV per atom. The calculation puts the total energy at -9.60 eV per atom.

Cell lengths 5.180, 5.180, 5.256 Å; angles 90.06, 119.49, 119.96 degrees
Element x y z (fractional)
Sc (0.752, 0.376, 0.127)
Sc (0.248, 0.624, 0.873)
Os (0.500, 0.500, 0.500)
Os (0.000, 0.000, 0.500)
Os (0.500, 0.000, 0.500)
Ru (0.000, 0.000, 0.000)

***

7.
DFT (GGA-PBE) results for Sc8OsRu2 after structural relaxation.

Summary:
The calculation puts the magnetic moment at 0.0 μB per formula unit. Its space group is C2/m, No. 12. The formation energy comes out at -370 meV per atom. The calculation puts the total energy at -7.68 eV per atom.

Cell lengths 4.602, 6.421, 8.295 Å; angles 108.28, 106.11, 90.00 degrees
Element x y z (fractional)
Sc (0.599, 0.448, 0.198)
Sc (0.335, 0.045, 0.670)
Sc (0.197, 0.297, 0.394)
Sc (0.027, 0.790, 0.054)
Sc (0.803, 0.703, 0.606)
Sc (0.665, 0.955, 0.330)
Sc (0.401, 0.552, 0.802)
Sc (0.973, 0.210, 0.946)
Os (0.500, 0.000, 0.000)
Ru (0.182, 0.689, 0.364)
Ru (0.818, 0.311, 0.636)

***

8.
DFT (GGA-PBE) results for ScOs2Ru after structural relaxation.

Summary:
The calculation puts the magnetic moment at 0.0 μB per formula unit. Its space group is P4mm, No. 99. The offset from the most stable computed form comes out at 0.076 eV/atom. The formation energy comes out at -14 meV per atom. The calculation puts the total energy at -9.53 eV per atom.

Cell lengths 2.828, 2.828, 7.810 Å; angles 90.00, 90.00, 90.00 degrees
Element x y z (fractional)
Os (0.000, 0.000, 0.024)
Os (0.500, 0.500, 0.249)
Ru (0.000, 0.000, 0.478)
Sc (0.500, 0.500, 0.749)

***

Copy entry 1 word for word.
DFT (GGA-PBE) results for SbTe2OsRu after structural relaxation.

Summary:
The calculation puts the magnetic moment at 0.3 μB per formula unit. The energy relative to the elements, uncorrected comes out at 32.03 kcal/mol of atoms. Its space group is P4/mmm, No. 123. The offset from the most stable computed form comes out at 0.031 eV/atom. The calculation puts the total energy at -4.79 eV per atom.

Cell lengths 5.053, 5.053, 4.954 Å; angles 90.00, 90.00, 90.00 degrees
Element x y z (fractional)
Sb (0.000, 0.000, 0.500)
Te (0.000, 0.500, 0.000)
Te (0.500, 0.000, 0.000)
Os (0.500, 0.500, 0.500)
Ru (0.000, 0.000, 0.000)